Compound: TeRh7
Source: Alexandria
Functional: PBE
Structure: relaxed

calculated density = 11.8 Mg/m³
electronic total energy = -54.82 eV for the cell shown
M_tot = 0.0 μB/cell
space group = Fm-3m (225)
ΔE_f (raw) = -0.03 eV/atom

Lattice parameters (Å, degrees): 5.5242 5.5242 5.5242 60.00 60.00 60.00
Sites, in units of the cell vectors:
1 Te 0.0000 0.0000 0.0000
2 Rh 0.0000 0.0000 0.5000
3 Rh 0.0000 0.5000 0.0000
4 Rh 0.0000 0.5000 0.5000
5 Rh 0.5000 0.0000 0.0000
6 Rh 0.5000 0.0000 0.5000
7 Rh 0.5000 0.5000 0.0000
8 Rh 0.5000 0.5000 0.5000



Compound: TeRh
Source: Alexandria
Functional: PBE
Structure: relaxed

calculated density = 9.3 Mg/m³
electronic total energy = -64.74 eV for the cell shown
M_tot = 0.0 μB/cell
space group = Cm (8)
ΔE_f (raw) = -0.15 eV/atom

Lattice parameters (Å, degrees): 11.6448 3.6468 7.2729 90.00 127.31 90.00
Sites, in units of the cell vectors:
1 Te 0.0000 0.0000 0.0000
2 Te 0.1349 0.5000 0.7253
3 Te 0.3186 0.5000 0.3391
4 Te 0.5000 0.5000 0.0000
5 Te 0.6349 0.0000 0.7253
6 Te 0.8186 0.0000 0.3391
7 Rh 0.0729 0.0000 0.4209
8 Rh 0.3480 0.0000 0.0398
9 Rh 0.3832 0.0000 0.6661
10 Rh 0.5729 0.5000 0.4209
11 Rh 0.8480 0.5000 0.0398
12 Rh 0.8832 0.5000 0.6661



Compound: TeRh
Source: Alexandria
Functional: PBE
Structure: relaxed

calculated density = 8.5 Mg/m³
electronic total energy = -88.11 eV for the cell shown
M_tot = 0.0 μB/cell
space group = P2_12_12_1 (19)
ΔE_f (raw) = -0.26 eV/atom

Lattice parameters (Å, degrees): 6.0223 7.4284 8.0601 90.00 90.00 90.00
Sites, in units of the cell vectors:
1 Te 0.0082 0.1205 0.3657
2 Te 0.0177 0.1781 0.8752
3 Te 0.4823 0.8219 0.3752
4 Te 0.4918 0.8795 0.8657
5 Te 0.5082 0.3795 0.6343
6 Te 0.5177 0.3219 0.1248
7 Te 0.9823 0.6781 0.6248
8 Te 0.9918 0.6205 0.1343
9 Rh 0.0849 0.3470 0.6026
10 Rh 0.2318 0.9629 0.6042
11 Rh 0.2682 0.0371 0.1042
12 Rh 0.4151 0.6530 0.1026
13 Rh 0.5849 0.1530 0.3974
14 Rh 0.7318 0.5371 0.3958
15 Rh 0.7682 0.4629 0.8958
16 Rh 0.9151 0.8470 0.8974



Compound: TeRh
Source: Alexandria
Functional: PBE
Structure: relaxed

calculated density = 6.6 Mg/m³
electronic total energy = -86.73 eV for the cell shown
M_tot = 0.0 μB/cell
space group = I4/m (87)
ΔE_f (raw) = -0.17 eV/atom

Lattice parameters (Å, degrees): 10.7307 10.7307 4.0284 90.00 90.00 90.00
Sites, in units of the cell vectors:
1 Te 0.0780 0.2902 0.0000
2 Te 0.2098 0.5780 0.5000
3 Te 0.2902 0.9220 0.0000
4 Te 0.4220 0.2098 0.5000
5 Te 0.5780 0.7902 0.5000
6 Te 0.7098 0.0780 0.0000
7 Te 0.7902 0.4220 0.5000
8 Te 0.9220 0.7098 0.0000
9 Rh 0.1595 0.7165 0.0000
10 Rh 0.2165 0.3405 0.5000
11 Rh 0.2835 0.1595 0.0000
12 Rh 0.3405 0.7835 0.5000
13 Rh 0.6595 0.2165 0.5000
14 Rh 0.7165 0.8405 0.0000
15 Rh 0.7835 0.6595 0.5000
16 Rh 0.8405 0.2835 0.0000



Compound: TeRh
Source: Alexandria
Functional: PBE
Structure: relaxed

calculated density = 6.0 Mg/m³
electronic total energy = -62.25 eV for the cell shown
M_tot = 0.0 μB/cell
space group = Pm-3n (223)
ΔE_f (raw) = 0.06 eV/atom

Lattice parameters (Å, degrees): 7.2691 7.2691 7.2691 90.00 90.00 90.00
Sites, in units of the cell vectors:
1 Te 0.0000 0.2500 0.5000
2 Te 0.0000 0.7500 0.5000
3 Te 0.2500 0.5000 0.0000
4 Te 0.5000 0.0000 0.2500
5 Te 0.5000 0.0000 0.7500
6 Te 0.7500 0.5000 0.0000
7 Rh 0.0000 0.5000 0.2500
8 Rh 0.0000 0.5000 0.7500
9 Rh 0.2500 0.0000 0.5000
10 Rh 0.5000 0.2500 0.0000
11 Rh 0.5000 0.7500 0.0000
12 Rh 0.7500 0.0000 0.5000



Compound: TeRh
Source: Alexandria
Functional: PBE
Structure: relaxed

calculated density = 9.6 Mg/m³
electronic total energy = -21.01 eV for the cell shown
M_tot = 0.0 μB/cell
space group = P6_3/mmc (194)
ΔE_f (raw) = -0.01 eV/atom

Lattice parameters (Å, degrees): 3.4778 3.4778 7.6309 90.00 90.00 120.00
Sites, in units of the cell vectors:
1 Te 0.0000 0.0000 0.0000
2 Te 0.0000 0.0000 0.5000
3 Rh 0.3333 0.6667 0.2500
4 Rh 0.6667 0.3333 0.7500



Compound: Te8Rh3
Source: Alexandria
Functional: PBE
Structure: relaxed

calculated density = 8.0 Mg/m³
electronic total energy = -51.13 eV for the cell shown
M_tot = 0.0 μB/cell
space group = R-3 (148)
ΔE_f (raw) = -0.36 eV/atom

Lattice parameters (Å, degrees): 6.5157 6.5157 6.5157 90.88 90.88 90.88
Sites, in units of the cell vectors:
1 Te 0.1270 0.6298 0.3772
2 Te 0.1307 0.1307 0.1307
3 Te 0.3702 0.6228 0.8730
4 Te 0.3772 0.1270 0.6298
5 Te 0.6228 0.8730 0.3702
6 Te 0.6298 0.3772 0.1270
7 Te 0.8693 0.8693 0.8693
8 Te 0.8730 0.3702 0.6228
9 Rh 0.0000 0.0000 0.5000
10 Rh 0.0000 0.5000 0.0000
11 Rh 0.5000 0.0000 0.0000



Compound: TeRh
Source: Alexandria
Functional: PBE
Structure: relaxed

calculated density = 9.8 Mg/m³
electronic total energy = -21.11 eV for the cell shown
M_tot = 0.0 μB/cell
space group = Pmma (51)
ΔE_f (raw) = -0.03 eV/atom

Lattice parameters (Å, degrees): 4.6638 3.3038 5.0841 90.00 90.00 90.00
Sites, in units of the cell vectors:
1 Te 0.2500 0.0000 0.2492
2 Te 0.7500 0.0000 0.7508
3 Rh 0.2500 0.5000 0.6753
4 Rh 0.7500 0.5000 0.3247



Compound: TeRh
Source: Alexandria
Functional: PBE
Structure: relaxed

calculated density = 7.9 Mg/m³
electronic total energy = -21.70 eV for the cell shown
M_tot = 0.0 μB/cell
space group = P-3m1 (164)
ΔE_f (raw) = -0.18 eV/atom

Lattice parameters (Å, degrees): 3.7809 3.7809 7.8450 90.00 90.00 120.00
Sites, in units of the cell vectors:
1 Te 0.3333 0.6667 0.2174
2 Te 0.6667 0.3333 0.7826
3 Rh 0.3333 0.6667 0.6105
4 Rh 0.6667 0.3333 0.3895



Compound: TeRh
Source: Alexandria
Functional: PBE
Structure: relaxed

calculated density = 8.8 Mg/m³
electronic total energy = -22.14 eV for the cell shown
M_tot = 0.0 μB/cell
space group = P4/nmm (129)
ΔE_f (raw) = -0.29 eV/atom

Lattice parameters (Å, degrees): 3.5950 3.5950 6.7440 90.00 90.00 90.00
Sites, in units of the cell vectors:
1 Te 0.2500 0.2500 0.2346
2 Te 0.7500 0.7500 0.7654
3 Rh 0.2500 0.2500 0.6202
4 Rh 0.7500 0.7500 0.3798



Compound: Te3Rh4
Source: Alexandria
Functional: PBE
Structure: relaxed

calculated density = 8.9 Mg/m³
electronic total energy = -33.59 eV for the cell shown
M_tot = 0.0 μB/cell
space group = P6/mmm (191)
ΔE_f (raw) = 0.75 eV/atom

Lattice parameters (Å, degrees): 6.1399 6.1399 4.5434 90.00 90.00 120.00
Sites, in units of the cell vectors:
1 Te 0.0000 0.5000 0.0000
2 Te 0.5000 0.0000 0.0000
3 Te 0.5000 0.5000 0.0000
4 Rh 0.0000 0.0000 0.2512
5 Rh 0.0000 0.0000 0.7488
6 Rh 0.3333 0.6667 0.5000
7 Rh 0.6667 0.3333 0.5000



Compound: TeRh
Source: Alexandria
Functional: PBE
Structure: relaxed

calculated density = 8.6 Mg/m³
electronic total energy = -42.08 eV for the cell shown
M_tot = 0.0 μB/cell
space group = Imma (74)
ΔE_f (raw) = -0.01 eV/atom

Lattice parameters (Å, degrees): 3.1897 4.4532 12.5918 90.00 90.00 90.00
Sites, in units of the cell vectors:
1 Te 0.0000 0.2500 0.1149
2 Te 0.0000 0.7500 0.8851
3 Te 0.5000 0.2500 0.3851
4 Te 0.5000 0.7500 0.6149
5 Rh 0.0000 0.2500 0.5645
6 Rh 0.0000 0.7500 0.4355
7 Rh 0.5000 0.2500 0.9355
8 Rh 0.5000 0.7500 0.0645